1.
Computed, not measured: a relaxed LiCaGe crystal at the PBE-GGA level of DFT.

Geometry as extended XYZ:
```
6
Lattice="3.723 -2.147 0.000 3.723 2.147 0.000 -2.501 0.000 9.389" Properties=species:S:1:pos:R:3 pbc="T T T"
Li -0.010 0.000 4.376
Li 4.955 0.000 5.013
Ca -0.009 0.000 7.728
Ca 4.954 0.000 1.661
Ge 2.471 0.000 3.460
Ge 2.475 0.000 5.929
```

- M_tot (μB per cell) = 0.0
- space group = C2/m, No. 12
- ΔH_f (0 K) (eV/atom) = -0.3832

2.
Computed, not measured: a relaxed Li2CaGe2 crystal at the PBE-GGA level of DFT.

Geometry as extended XYZ:
```
10
Lattice="7.728 0.000 0.000 0.000 7.728 0.000 0.000 0.000 3.382" Properties=species:S:1:pos:R:3 pbc="T T T"
Li 1.317 2.547 0.000
Li 2.547 6.411 0.000
Li 5.181 1.317 0.000
Li 6.411 5.181 0.000
Ca 0.000 0.000 1.691
Ca 3.864 3.864 1.691
Ge 0.914 4.779 1.691
Ge 2.950 0.914 1.691
Ge 4.779 6.814 1.691
Ge 6.814 2.950 1.691
```

- M_tot (μB per cell) = 0.3
- space group = P4/mbm, No. 127
- ΔH_f (0 K) (eV/atom) = -0.2784
- energy above the lowest structure with this stoichiometry (meV per atom) = 177

3.
Computed, not measured: a relaxed Li3CaGe2 crystal at the PBE-GGA level of DFT.

Geometry as extended XYZ:
```
12
Lattice="6.485 -2.279 0.000 6.485 2.279 0.000 -4.141 0.000 7.590" Properties=species:S:1:pos:R:3 pbc="T T T"
Li -0.858 0.000 2.824
Li 1.815 0.000 3.524
Li 4.055 0.000 2.335
Li 4.774 0.000 5.255
Li 7.015 0.000 4.066
Li 9.688 0.000 4.766
Ca 1.730 0.000 0.177
Ca 7.099 0.000 7.413
Ge -0.242 0.000 5.452
Ge 2.338 0.000 6.220
Ge 6.491 0.000 1.370
Ge 9.072 0.000 2.138
```

- M_tot (μB per cell) = 0.0
- space group = C2/m, No. 12
- ΔH_f (0 K) (eV/atom) = -0.4235

4.
Computed, not measured: a relaxed Li3Ca2Ge2 crystal at the PBE-GGA level of DFT.

Geometry as extended XYZ:
```
7
Lattice="5.149 -2.309 0.000 5.149 2.309 0.000 -1.890 0.000 6.428" Properties=species:S:1:pos:R:3 pbc="T T T"
Li 0.000 0.000 0.000
Li 0.538 0.000 2.761
Li 7.870 0.000 3.667
Ca 3.189 0.000 1.406
Ca 5.219 0.000 5.021
Ge 2.207 0.000 4.873
Ge 6.201 0.000 1.555
```

- M_tot (μB per cell) = 0.0
- space group = C2/m, No. 12
- ΔH_f (0 K) (eV/atom) = -0.4108

5.
Computed, not measured: a relaxed LiCaGe3 crystal at the PBE-GGA level of DFT.

Geometry as extended XYZ:
```
5
Lattice="4.703 0.000 0.000 0.000 4.703 0.000 0.000 0.000 4.703" Properties=species:S:1:pos:R:3 pbc="T T T"
Li 0.000 0.000 0.000
Ca 2.351 2.351 2.351
Ge 0.000 0.000 2.351
Ge 0.000 2.351 0.000
Ge 2.351 0.000 0.000
```

- M_tot (μB per cell) = 0.0
- space group = Pm-3m, No. 221
- ΔH_f (0 K) (eV/atom) = -0.0129
- energy above the lowest structure with this stoichiometry (meV per atom) = 319

6.
Computed, not measured: a relaxed Li2Ca2Ge crystal at the PBE-GGA level of DFT.

Geometry as extended XYZ:
```
10
Lattice="6.999 0.000 0.000 0.000 6.999 0.000 0.000 0.000 4.830" Properties=species:S:1:pos:R:3 pbc="T T T"
Li 0.934 2.566 0.000
Li 2.566 6.065 0.000
Li 4.433 0.934 0.000
Li 6.065 4.433 0.000
Ca 1.397 4.896 2.415
Ca 2.103 1.397 2.415
Ca 4.896 5.603 2.415
Ca 5.603 2.103 2.415
Ge 0.000 0.000 0.000
Ge 3.500 3.500 0.000
```

- M_tot (μB per cell) = 0.0
- space group = P4/mbm, No. 127
- ΔH_f (0 K) (eV/atom) = -0.2115
- energy above the lowest structure with this stoichiometry (meV per atom) = 0

7.
Computed, not measured: a relaxed LiCaLuGe crystal at the PBE-GGA level of DFT.

Geometry as extended XYZ:
```
4
Lattice="0.000 3.566 3.566 3.566 0.000 3.566 3.566 3.566 0.000" Properties=species:S:1:pos:R:3 pbc="T T T"
Li 0.000 0.000 0.000
Ca 1.783 1.783 1.783
Lu 5.349 5.349 5.349
Ge 3.566 3.566 3.566
```

- M_tot (μB per cell) = 0.0
- space group = F-43m, No. 216
- ΔH_f (0 K) (eV/atom) = -0.3312

8.
Computed, not measured: a relaxed LiCaGeMo2 crystal at the PBE-GGA level of DFT.

Geometry as extended XYZ:
```
5
Lattice="4.737 0.000 0.000 0.000 4.737 0.000 0.000 0.000 5.242" Properties=species:S:1:pos:R:3 pbc="T T T"
Li 0.000 0.000 0.000
Ca 2.369 2.369 2.621
Ge 2.369 2.369 0.000
Mo 0.000 2.369 2.621
Mo 2.369 0.000 2.621
```

- M_tot (μB per cell) = 2.1
- space group = P4/mmm, No. 123
- ΔH_f (0 K) (eV/atom) = 2.1363

9.
Computed, not measured: a relaxed LiCa2GeN crystal at the PBE-GGA level of DFT.

Geometry as extended XYZ:
```
5
Lattice="4.943 0.000 0.000 0.000 4.943 0.000 0.000 0.000 3.957" Properties=species:S:1:pos:R:3 pbc="T T T"
Li 0.000 0.000 0.000
Ca 0.000 2.471 1.978
Ca 2.471 0.000 1.978
Ge 2.471 2.471 0.000
N 0.000 0.000 1.978
```

- M_tot (μB per cell) = 0.0
- space group = P4/mmm, No. 123
- raw formation energy (eV per formula unit) = -2.512

10.
Computed, not measured: a relaxed LiCa2Ge2N4 crystal at the PBE-GGA level of DFT.

Geometry as extended XYZ:
```
9
Lattice="6.236 -1.712 0.000 6.236 1.712 0.000 -2.051 0.000 5.514" Properties=species:S:1:pos:R:3 pbc="T T T"
Li 0.000 0.000 0.000
Ca 0.422 0.000 2.756
Ca 9.998 0.000 2.758
Ge 2.212 0.000 5.510
Ge 8.208 0.000 0.005
N 2.349 0.000 0.998
N 5.441 0.000 1.372
N 4.979 0.000 4.142
N 8.071 0.000 4.517
```

- M_tot (μB per cell) = 0.0
- space group = C2/m, No. 12
- raw formation energy (eV per formula unit) = -2.404

11.
Computed, not measured: a relaxed LiCaGeN2 crystal at the PBE-GGA level of DFT.

Geometry as extended XYZ:
```
10
Lattice="5.495 -1.841 0.000 5.495 1.841 0.000 -4.723 0.000 6.477" Properties=species:S:1:pos:R:3 pbc="T T T"
Li -0.296 0.000 2.754
Li 6.562 0.000 3.722
Ca -0.720 0.000 5.554
Ca 6.986 0.000 0.923
Ge 3.646 0.000 1.959
Ge 2.621 0.000 4.517
N -3.175 0.000 5.362
N 1.768 0.000 2.733
N 4.499 0.000 3.743
N 9.441 0.000 1.115
```

- M_tot (μB per cell) = 0.0
- space group = C2/m, No. 12
- raw formation energy (eV per formula unit) = -1.783

12.
Computed, not measured: a relaxed LiCaGeN crystal at the PBE-GGA level of DFT.

Geometry as extended XYZ:
```
4
Lattice="-1.772 1.772 5.106 1.772 -1.772 5.106 1.772 1.772 -5.106" Properties=species:S:1:pos:R:3 pbc="T T T"
Li 0.000 0.000 0.000
Ca 0.000 0.000 6.967
Ge 0.000 0.000 3.808
N 0.000 0.000 1.944
```

- M_tot (μB per cell) = 0.0
- space group = I4mm, No. 107
- raw formation energy (eV per formula unit) = -2.456

13.
Computed, not measured: a relaxed Li2Ca2NdGe2 crystal at the PBE-GGA level of DFT.

Geometry as extended XYZ:
```
7
Lattice="2.254 1.302 10.178 -2.254 1.302 10.178 0.000 -2.603 10.178" Properties=species:S:1:pos:R:3 pbc="T T T"
Li 0.000 0.000 3.256
Li 0.000 0.000 27.278
Ca 0.000 0.000 11.632
Ca 0.000 0.000 18.902
Nd 0.000 0.000 15.267
Ge 0.000 0.000 6.938
Ge 0.000 0.000 23.596
```

- M_tot (μB per cell) = 0.6
- space group = R-3m, No. 166
- ΔH_f (0 K) (eV/atom) = -0.4944

14.
Computed, not measured: a relaxed Li2CaNdGe2 crystal at the PBE-GGA level of DFT.

Geometry as extended XYZ:
```
6
Lattice="4.544 0.000 0.000 -2.272 3.935 0.000 0.000 0.000 7.416" Properties=species:S:1:pos:R:3 pbc="T T T"
Li 0.000 2.623 1.949
Li 2.272 1.312 5.467
Ca 0.000 0.000 3.708
Nd 0.000 0.000 0.000
Ge 0.000 2.623 5.666
Ge 2.272 1.312 1.750
```

- M_tot (μB per cell) = 0.0
- space group = P-3m1, No. 164
- ΔH_f (0 K) (eV/atom) = -0.5816

15.
Computed, not measured: a relaxed LiCa2NiGe crystal at the PBE-GGA level of DFT.

Geometry as extended XYZ:
```
5
Lattice="5.433 0.000 0.000 0.000 5.433 0.000 0.000 0.000 4.465" Properties=species:S:1:pos:R:3 pbc="T T T"
Li 0.000 0.000 0.000
Ca 0.000 2.717 2.233
Ca 2.717 0.000 2.233
Ni 2.717 2.717 2.233
Ge 2.717 2.717 0.000
```

- M_tot (μB per cell) = 0.0
- space group = P4/mmm, No. 123
- ΔH_f (0 K) (eV/atom) = -0.2086

16.
Computed, not measured: a relaxed Li2Ca2NiGe4 crystal at the PBE-GGA level of DFT.

Geometry as extended XYZ:
```
9
Lattice="-3.050 3.050 4.494 3.050 -3.050 4.494 3.050 3.050 -4.494" Properties=species:S:1:pos:R:3 pbc="T T T"
Li 0.000 0.000 1.976
Li 0.000 0.000 7.013
Ca 3.050 0.000 2.247
Ca 0.000 3.050 2.247
Ni 0.000 0.000 4.494
Ge 1.355 1.355 0.000
Ge 1.696 -1.696 4.494
Ge -1.696 1.696 4.494
Ge 1.696 1.696 4.494
```

- M_tot (μB per cell) = 0.0
- space group = I4/mmm, No. 139
- ΔH_f (0 K) (eV/atom) = -0.4250

17.
Computed, not measured: a relaxed LiCa2Ni4Ge3 crystal at the PBE-GGA level of DFT.

Geometry as extended XYZ:
```
10
Lattice="4.114 0.000 0.000 0.000 4.114 0.000 0.000 0.000 9.721" Properties=species:S:1:pos:R:3 pbc="T T T"
Li 0.000 0.000 0.000
Ca 0.000 2.057 7.270
Ca 2.057 0.000 2.451
Ni 0.000 0.000 4.861
Ni 0.000 2.057 1.284
Ni 2.057 0.000 8.437
Ni 2.057 2.057 4.861
Ge 0.000 2.057 3.644
Ge 2.057 0.000 6.077
Ge 2.057 2.057 0.000
```

- M_tot (μB per cell) = 0.0
- space group = P-4m2, No. 115
- ΔH_f (0 K) (eV/atom) = -0.4653

18.
Computed, not measured: a relaxed LiCaNiGe crystal at the PBE-GGA level of DFT.

Geometry as extended XYZ:
```
4
Lattice="0.000 3.194 3.194 3.194 0.000 3.194 3.194 3.194 0.000" Properties=species:S:1:pos:R:3 pbc="T T T"
Li 0.000 0.000 0.000
Ca 4.791 4.791 4.791
Ni 3.194 3.194 3.194
Ge 1.597 1.597 1.597
```

- M_tot (μB per cell) = 0.0
- space group = F-43m, No. 216
- ΔH_f (0 K) (eV/atom) = -0.2975
- energy above the lowest structure with this stoichiometry (meV per atom) = 129

19.
Computed, not measured: a relaxed LiCaNiGe crystal at the PBE-GGA level of DFT.

Geometry as extended XYZ:
```
4
Lattice="2.091 1.207 4.923 -2.091 1.207 4.923 0.000 -2.415 4.923" Properties=species:S:1:pos:R:3 pbc="T T T"
Li 0.000 0.000 0.000
Ca 0.000 0.000 11.846
Ni 0.000 0.000 8.882
Ge 0.000 0.000 4.040
```

- M_tot (μB per cell) = 0.0
- space group = R3m, No. 160
- ΔH_f (0 K) (eV/atom) = -0.4261
- energy above the lowest structure with this stoichiometry (meV per atom) = 0

20.
Computed, not measured: a relaxed LiCa2GeO5 crystal at the PBE-GGA level of DFT.

Geometry as extended XYZ:
```
18
Lattice="1.673 -6.429 0.000 1.673 6.429 0.000 0.000 0.000 9.938" Properties=species:S:1:pos:R:3 pbc="T T T"
Li 1.673 3.573 4.969
Li 1.673 -3.573 0.000
Ca 1.673 5.062 1.393
Ca 1.673 4.607 7.709
Ca 1.673 -4.607 2.740
Ca 1.673 -5.062 6.363
Ge 1.673 0.548 9.293
Ge 1.673 -0.548 4.324
O 1.673 5.694 5.188
O 1.673 2.827 1.445
O 1.673 2.413 8.917
O 1.673 1.343 4.676
O 1.673 0.165 7.530
O 1.673 -0.165 2.561
O 1.673 -1.343 9.645
O 1.673 -2.413 3.948
O 1.673 -2.827 6.414
O 1.673 -5.694 0.219
```

- M_tot (μB per cell) = 2.1
- space group = Cmc2_1, No. 36
- raw formation energy (eV per formula unit) = -19.306

21.
Computed, not measured: a relaxed LiCaGe2O crystal at the PBE-GGA level of DFT.

Geometry as extended XYZ:
```
5
Lattice="4.803 0.000 0.000 0.000 4.803 0.000 0.000 0.000 3.832" Properties=species:S:1:pos:R:3 pbc="T T T"
Li 0.000 0.000 0.000
Ca 2.401 2.401 0.000
Ge 0.000 2.401 1.916
Ge 2.401 0.000 1.916
O 0.000 0.000 1.916
```

- M_tot (μB per cell) = 0.0
- space group = P4/mmm, No. 123
- raw formation energy (eV per formula unit) = -3.005

22.
Computed, not measured: a relaxed LiCa2GePb crystal at the PBE-GGA level of DFT.

Geometry as extended XYZ:
```
5
Lattice="6.096 0.000 0.000 0.000 6.096 0.000 0.000 0.000 5.286" Properties=species:S:1:pos:R:3 pbc="T T T"
Li 0.000 0.000 0.000
Ca 0.000 3.048 2.643
Ca 3.048 0.000 2.643
Ge 3.048 3.048 0.000
Pb 3.048 3.048 2.643
```

- M_tot (μB per cell) = 0.0
- space group = P4/mmm, No. 123
- ΔH_f (0 K) (eV/atom) = 0.2691

23.
Computed, not measured: a relaxed LiCa2Ge3Pd4 crystal at the PBE-GGA level of DFT.

Geometry as extended XYZ:
```
10
Lattice="4.217 0.000 0.000 0.000 4.217 0.000 0.000 0.000 10.617" Properties=species:S:1:pos:R:3 pbc="T T T"
Li 0.000 0.000 0.000
Ca 0.000 2.108 7.984
Ca 2.108 0.000 2.633
Ge 0.000 2.108 3.897
Ge 2.108 0.000 6.720
Ge 2.108 2.108 0.000
Pd 0.000 0.000 5.308
Pd 0.000 2.108 1.431
Pd 2.108 0.000 9.185
Pd 2.108 2.108 5.308
```

- M_tot (μB per cell) = 0.0
- space group = P-4m2, No. 115
- ΔH_f (0 K) (eV/atom) = -0.7066

24.
Computed, not measured: a relaxed Li2CaGePd2 crystal at the PBE-GGA level of DFT.

Geometry as extended XYZ:
```
6
Lattice="4.775 0.000 0.000 0.000 4.775 0.000 0.000 0.000 5.796" Properties=species:S:1:pos:R:3 pbc="T T T"
Li 0.000 0.000 1.296
Li 0.000 0.000 4.501
Ca 2.388 2.388 2.898
Ge 2.388 2.388 0.000
Pd 0.000 2.388 0.000
Pd 2.388 0.000 0.000
```

- M_tot (μB per cell) = 0.0
- space group = P4/mmm, No. 123
- ΔH_f (0 K) (eV/atom) = -0.3561

25.
Computed, not measured: a relaxed LiCaGePd crystal at the PBE-GGA level of DFT.

Geometry as extended XYZ:
```
4
Lattice="4.439 0.000 0.000 0.000 1.992 4.957 0.000 -1.992 4.957" Properties=species:S:1:pos:R:3 pbc="T T T"
Li 0.000 0.000 0.000
Ca 2.219 0.000 6.958
Ge 0.000 0.000 3.051
Pd 2.219 0.000 4.119
```

- M_tot (μB per cell) = 0.0
- space group = Amm2, No. 38
- ΔH_f (0 K) (eV/atom) = -0.4971
- energy above the lowest structure with this stoichiometry (meV per atom) = 39

26.
Computed, not measured: a relaxed LiCaGePd crystal at the PBE-GGA level of DFT.

Geometry as extended XYZ:
```
4
Lattice="0.000 3.297 3.297 3.297 0.000 3.297 3.297 3.297 0.000" Properties=species:S:1:pos:R:3 pbc="T T T"
Li 0.000 0.000 0.000
Ca 4.945 4.945 4.945
Ge 1.648 1.648 1.648
Pd 3.297 3.297 3.297
```

- M_tot (μB per cell) = 0.0
- space group = F-43m, No. 216
- ΔH_f (0 K) (eV/atom) = -0.5362
- energy above the lowest structure with this stoichiometry (meV per atom) = 0